Record 1
Here is an optimized crystal structure of SmDyCdGe from Alexandria. Energies are from GGA-PBE.

**Crystal system**: cubic
**Energy**: -16.76 eV per formula unit
**Energy of formation from the pure elements**: -0.48 eV per atom

Cell and atoms, written as CIF:
```
data_SmDyCdGe
_cell_length_a 5.194
_cell_length_b 5.194
_cell_length_c 5.194
_cell_angle_alpha 60.00
_cell_angle_beta 60.00
_cell_angle_gamma 60.00
_space_group_name_H-M_alt 'P 1'
_space_group_IT_number 1
_space_group_name_Hall 'P 1'
loop_
_atom_site_label
_atom_site_type_symbol
_atom_site_fract_x
_atom_site_fract_y
_atom_site_fract_z
Sm1 Sm 0.000 0.000 0.000
Cd1 Cd 0.750 0.750 0.750
Dy1 Dy 0.500 0.500 0.500
Ge1 Ge 0.250 0.250 0.250
```

---

Record 2
Here is an optimized crystal structure of TlP2Se from Alexandria. Energies are from GGA-PBE.

**Crystal system**: cubic
**Energy**: -13.82 eV per formula unit
**E_form (uncorrected)**: 713 meV per atom

Cell and atoms, written as CIF:
```
data_TlP2Se
_cell_length_a 4.858
_cell_length_b 4.858
_cell_length_c 4.858
_cell_angle_alpha 60.00
_cell_angle_beta 60.00
_cell_angle_gamma 60.00
_space_group_name_H-M_alt 'P 1'
_space_group_IT_number 1
_space_group_name_Hall 'P 1'
loop_
_atom_site_label
_atom_site_type_symbol
_atom_site_fract_x
_atom_site_fract_y
_atom_site_fract_z
Tl1 Tl 0.250 0.250 0.250
Se1 Se 0.500 0.500 0.500
P1 P 0.750 0.750 0.750
P2 P 0.000 0.000 0.000
```

---

Record 3
Here is an optimized crystal structure of SrTlIN2 from Alexandria. Energies are from GGA-PBE.

**Crystal system**: tetragonal
**Energy**: -17.64 eV per formula unit
**E_form (uncorrected)**: 922 meV per atom

Cell and atoms, written as CIF:
```
data_SrTlIN2
_cell_length_a 4.544
_cell_length_b 4.544
_cell_length_c 6.126
_cell_angle_alpha 90.00
_cell_angle_beta 90.00
_cell_angle_gamma 90.00
_space_group_name_H-M_alt 'P 1'
_space_group_IT_number 1
_space_group_name_Hall 'P 1'
loop_
_atom_site_label
_atom_site_type_symbol
_atom_site_fract_x
_atom_site_fract_y
_atom_site_fract_z
N1 N 0.500 0.000 0.000
N2 N 0.000 0.500 0.000
Sr1 Sr 0.500 0.500 0.500
Tl1 Tl 0.000 0.000 0.000
I1 I 0.000 0.000 0.500
```

---

Record 4
Here is an optimized crystal structure of YZrSi2 from Alexandria. Energies are from GGA-PBE.

**Crystal system**: orthorhombic
**Energy**: -27.76 eV per formula unit
**E_form (uncorrected)**: -475 meV per atom

Cell and atoms, written as CIF:
```
data_YZrSi2
_cell_length_a 3.229
_cell_length_b 3.229
_cell_length_c 7.815
_cell_angle_alpha 90.00
_cell_angle_beta 90.00
_cell_angle_gamma 100.62
_space_group_name_H-M_alt 'P 1'
_space_group_IT_number 1
_space_group_name_Hall 'P 1'
loop_
_atom_site_label
_atom_site_type_symbol
_atom_site_fract_x
_atom_site_fract_y
_atom_site_fract_z
Si1 Si 0.000 0.000 0.984
Si2 Si 0.000 0.000 0.516
Zr1 Zr 0.500 0.500 0.750
Y1 Y 0.500 0.500 0.250
```

---

Record 5
Here is an optimized crystal structure of Ce3PaIr8 from Alexandria. Energies are from GGA-PBE.

**Crystal system**: trigonal
**Energy**: -107.53 eV per formula unit
**Energy of formation from the pure elements**: -0.78 eV per atom

Cell and atoms, written as CIF:
```
data_Ce3PaIr8
_cell_length_a 5.384
_cell_length_b 5.384
_cell_length_c 9.321
_cell_angle_alpha 73.21
_cell_angle_beta 73.21
_cell_angle_gamma 60.00
_space_group_name_H-M_alt 'P 1'
_space_group_IT_number 1
_space_group_name_Hall 'P 1'
loop_
_atom_site_label
_atom_site_type_symbol
_atom_site_fract_x
_atom_site_fract_y
_atom_site_fract_z
Ir1 Ir 0.438 0.438 0.190
Ir2 Ir 0.937 0.937 0.685
Ir3 Ir 0.934 0.438 0.190
Ir4 Ir 0.187 0.187 0.438
Ir5 Ir 0.438 0.934 0.190
Ir6 Ir 0.687 0.687 0.938
Ir7 Ir 0.440 0.937 0.685
Ir8 Ir 0.937 0.440 0.685
Ce1 Ce 0.499 0.499 0.504
Ce2 Ce 0.002 0.002 0.995
Ce3 Ce 0.374 0.374 0.878
Pa1 Pa 0.876 0.876 0.372
```

---

Record 6
Here is an optimized crystal structure of Er2Sb2O from Alexandria. Energies are from GGA-PBE.

**Crystal system**: monoclinic
**Energy**: -31.02 eV per formula unit
**E_form (uncorrected)**: -1738 meV per atom

Cell and atoms, written as CIF:
```
data_Er2Sb2O
_cell_length_a 4.056
_cell_length_b 6.862
_cell_length_c 9.408
_cell_angle_alpha 90.08
_cell_angle_beta 77.55
_cell_angle_gamma 72.81
_space_group_name_H-M_alt 'P 1'
_space_group_IT_number 1
_space_group_name_Hall 'P 1'
loop_
_atom_site_label
_atom_site_type_symbol
_atom_site_fract_x
_atom_site_fract_y
_atom_site_fract_z
Er1 Er 0.113 0.190 0.585
Er2 Er 0.887 0.810 0.415
Er3 Er 0.663 0.868 0.807
Er4 Er 0.337 0.132 0.193
O1 O 0.680 0.031 0.609
O2 O 0.320 0.969 0.391
Sb1 Sb 0.390 0.562 0.658
Sb2 Sb 0.929 0.204 0.938
Sb3 Sb 0.071 0.796 0.062
Sb4 Sb 0.610 0.438 0.342
```

---

Number 1: magnetic moment 0.00 μB per formula unit. Number 2: magnetic moment 0.00 μB per formula unit. Number 3: magnetic moment 1.55 μB per formula unit. Number 4: magnetic moment 0.35 μB per formula unit. Number 5: magnetic moment 0.00 μB per formula unit. Number 6: magnetic moment 0.00 μB per formula unit.